The following is a PBE-GGA calculation of CeH2SO6 after structural relaxation, from Alexandria via LeMat-Bulk.

Output
* crystal system: triclinic
* total moment: 0.0 μB/cell
* total energy: -61.65 eV per formula unit

a = 4.247 Å, b = 4.709 Å, c = 5.393 Å
α = 104.23°, β = 110.54°, γ = 101.20°
Sites, in units of the cell vectors:
Ce1 0.000 0.000 0.000
H1 0.430 0.680 0.368
H2 0.570 0.320 0.632
S1 0.000 0.500 0.500
O1 0.153 0.628 0.272
O2 0.205 0.246 0.483
O3 0.345 0.753 0.790
O4 0.655 0.247 0.210
O5 0.795 0.754 0.517
O6 0.847 0.372 0.728

The following is a PBE-GGA calculation of CeHSO5 after structural relaxation, from Alexandria via LeMat-Bulk.

Output
* DOS at the Fermi energy: 27.985 states/eV per cell
* crystal system: monoclinic
* total moment: 4.0 μB/cell
* total energy: -54.52 eV per formula unit

a = 4.562 Å, b = 12.642 Å, c = 7.173 Å
α = 90.00°, β = 111.24°, γ = 90.00°
Sites, in units of the cell vectors:
Ce1 0.162 0.065 0.303
Ce2 0.162 0.435 0.803
Ce3 0.838 0.565 0.197
Ce4 0.838 0.935 0.697
H1 0.213 0.654 0.973
H2 0.213 0.846 0.473
H3 0.787 0.154 0.527
H4 0.787 0.346 0.027
S1 0.406 0.146 0.889
S2 0.406 0.354 0.389
S3 0.594 0.646 0.611
S4 0.594 0.854 0.111
O1 0.198 0.071 0.949
O2 0.198 0.429 0.449
O3 0.235 0.246 0.822
O4 0.235 0.254 0.322
O5 0.236 0.585 0.039
O6 0.236 0.915 0.539
O7 0.303 0.665 0.438
O8 0.303 0.835 0.938
O9 0.471 0.097 0.719
O10 0.471 0.403 0.219
O11 0.529 0.597 0.781
O12 0.529 0.903 0.281
O13 0.697 0.165 0.062
O14 0.697 0.335 0.562
O15 0.764 0.085 0.461
O16 0.764 0.415 0.961
O17 0.765 0.746 0.678
O18 0.765 0.754 0.178
O19 0.802 0.571 0.551
O20 0.802 0.929 0.051

The following is a PBE-GGA calculation of CeTaH2O6 after structural relaxation, from Alexandria via LeMat-Bulk.

Output
* DOS at the Fermi energy: 5.812 states/eV per cell
* crystal system: triclinic
* total moment: 1.1 μB/cell
* total energy: -75.64 eV per formula unit

a = 5.111 Å, b = 5.286 Å, c = 5.860 Å
α = 64.96°, β = 64.93°, γ = 63.67°
Sites, in units of the cell vectors:
Ce1 0.000 0.000 0.000
Ta1 0.543 0.483 0.491
H1 0.226 0.381 0.280
H2 0.941 0.691 0.711
O1 0.116 0.722 0.713
O2 0.270 0.554 0.259
O3 0.390 0.138 0.720
O4 0.603 0.855 0.249
O5 0.740 0.409 0.735
O6 0.884 0.254 0.272

The following is a PBE-GGA calculation of Ce2TeHO after structural relaxation, from Alexandria via LeMat-Bulk.

Output
* DOS at the Fermi energy: 11.752 states/eV per cell
* crystal system: tetragonal
* total moment: 2.8 μB/cell
* total energy: -32.44 eV per formula unit

a = 6.957 Å, b = 6.957 Å, c = 6.957 Å
α = 146.71°, β = 146.71°, γ = 47.79°
Sites, in units of the cell vectors:
Ce1 0.150 0.150 0.000
Ce2 0.850 0.850 0.000
Te1 0.500 0.500 0.000
H1 0.750 0.250 0.500
O1 0.250 0.750 0.500

The following is a PBE-GGA calculation of CeTi2HO5 after structural relaxation, from Alexandria via LeMat-Bulk.

Output
* DOS at the Fermi energy: 6.474 states/eV per cell
* crystal system: tetragonal
* total moment: 0.9 μB/cell
* total energy: -73.82 eV per formula unit

a = 3.857 Å, b = 3.857 Å, c = 7.668 Å
α = 90.00°, β = 90.00°, γ = 90.00°
Sites, in units of the cell vectors:
Ce1 0.000 0.000 0.000
Ti1 0.500 0.500 0.258
Ti2 0.500 0.500 0.742
H1 0.500 0.500 0.500
O1 0.000 0.500 0.231
O2 0.000 0.500 0.769
O3 0.500 0.000 0.231
O4 0.500 0.000 0.769
O5 0.500 0.500 0.000

The following is a PBE-GGA calculation of Ce3HOs after structural relaxation, from Alexandria via LeMat-Bulk.

Output
* DOS at the Fermi energy: 21.415 states/eV per cell
* crystal system: monoclinic
* total moment: 2.9 μB/cell
* total energy: -33.10 eV per formula unit

a = 7.705 Å, b = 3.784 Å, c = 7.717 Å
α = 90.00°, β = 107.57°, γ = 90.00°
Sites, in units of the cell vectors:
Ce1 0.068 0.000 0.301
Ce2 0.301 0.000 0.067
Ce3 0.345 0.500 0.656
Ce4 0.655 0.500 0.344
Ce5 0.699 0.000 0.933
Ce6 0.932 0.000 0.699
H1 0.000 0.500 0.500
H2 0.500 0.500 0.000
Os1 0.000 0.500 0.000
Os2 0.500 0.000 0.500

The following is a PBE-GGA calculation of Ce2HOs after structural relaxation, from Alexandria via LeMat-Bulk.

Output
* DOS at the Fermi energy: 6.055 states/eV per cell
* polymorph energy (0 for the lowest one): 0.0 meV per atom
* crystal system: trigonal
* total moment: 0.5 μB/cell
* total energy: -27.34 eV per formula unit

a = 6.064 Å, b = 6.064 Å, c = 6.064 Å
α = 39.19°, β = 39.19°, γ = 39.19°
Sites, in units of the cell vectors:
Ce1 0.244 0.244 0.244
Ce2 0.756 0.756 0.756
H1 0.500 0.500 0.500
Os1 0.000 0.000 0.000

The following is a PBE-GGA calculation of Ce2HOs after structural relaxation, from Alexandria via LeMat-Bulk.

Output
* DOS at the Fermi energy: 28.671 states/eV per cell
* polymorph energy (0 for the lowest one): 28.5 meV per atom
* crystal system: orthorhombic
* total moment: 3.4 μB/cell
* total energy: -27.23 eV per formula unit

a = 6.524 Å, b = 4.988 Å, c = 9.370 Å
α = 90.00°, β = 90.00°, γ = 90.00°
Sites, in units of the cell vectors:
Ce1 0.068 0.250 0.142
Ce2 0.118 0.250 0.595
Ce3 0.382 0.750 0.095
Ce4 0.432 0.750 0.642
Ce5 0.568 0.250 0.358
Ce6 0.618 0.250 0.905
Ce7 0.882 0.750 0.405
Ce8 0.932 0.750 0.858
H1 0.072 0.750 0.626
H2 0.428 0.250 0.126
H3 0.572 0.750 0.874
H4 0.928 0.250 0.374
Os1 0.181 0.250 0.869
Os2 0.319 0.750 0.369
Os3 0.681 0.250 0.631
Os4 0.819 0.750 0.131